# Nb2VN | Alexandria | GGA-PBE | relaxed
# * total energy: -9.455 eV/atom
# * formation energy without anion corrections: -0.059 eV per atom
# * total magnetic moment: 0.0 μB per formula unit
data_Nb2VN
_space_group_name_H-M_alt 'R -3 m'
_space_group_IT_number 166
_space_group_name_Hall '-R 3 2"'
_cell_length_a 2.9341
_cell_length_b 2.9341
_cell_length_c 23.6752
_cell_angle_alpha 90.00
_cell_angle_beta 90.00
_cell_angle_gamma 120.00
loop_
_atom_site_label
_atom_site_type_symbol
_atom_site_fract_x
_atom_site_fract_y
_atom_site_fract_z
_atom_site_occupancy
Nb1 Nb 0.0000 0.0000 0.1079 1
V1 V 0.0000 0.0000 0.0000 1
N1 N 0.0000 0.0000 0.5000 1